Computed, not measured: an optimized crystal structure of TbMg3Ni at the GGA-PBE level of DFT.

The volume is 215 Å³/cell. The calculation puts the total magnetic moment at 0.000 μB/f.u. For the formation energy, the calculation gives -0.18 eV per atom. The density of states at the Fermi level is 2.3 states/eV/f.u. The value obtained for the energy above the lowest structure with this stoichiometry is 0.000 eV per atom.

Cell: 5.318 5.795 7.269 Å, 90.00 106.56 90.00°
Space group P2_1/m (No. 11)
Inequivalent atoms, fractional coordinates:
Tb 0.109 0.250 0.402
Mg 0.019 0.250 0.894
Mg 0.488 0.501 0.791
Ni 0.330 0.750 0.466

***

Computed, not measured: an optimized crystal structure of KSn12Pd4 at the GGA-PBE level of DFT.

The volume is 876 Å³/cell. The calculation puts the total magnetic moment at 0.000 μB/f.u. For the formation energy, the calculation gives -0.28 eV per atom. The density of states at the Fermi level is 8.0 states/eV/f.u.

Cell: 9.569 9.569 9.569 Å, 90.00 90.00 90.00°
Space group Im-3 (No. 204)
Inequivalent atoms, fractional coordinates:
K 0.000 0.000 0.000
Sn 0.000 0.160 0.345
Pd 0.250 0.250 0.250

***

Computed, not measured: an optimized crystal structure of LiCeHgPt at the GGA-PBE level of DFT.

The volume is 343 Å³/cell. The calculation puts the total magnetic moment at 0.539 μB/f.u. For the formation energy, the calculation gives -0.52 eV per atom. The density of states at the Fermi level is 6.6 states/eV/f.u.

Cell: 7.002 7.002 7.002 Å, 90.00 90.00 90.00°
Space group F-43m (No. 216)
Inequivalent atoms, fractional coordinates:
Li 0.000 0.000 0.000
Ce 0.000 0.000 0.500
Hg 0.250 0.250 0.250
Pt 0.250 0.250 0.750

***

Computed, not measured: an optimized crystal structure of VFe3Co3 at the GGA-PBE level of DFT.

The volume is 334 Å³/cell. The calculation puts the total magnetic moment at 9.292 μB/f.u. For the formation energy, the calculation gives 0.12 eV per atom. The density of states at the Fermi level is 8.0 states/eV/f.u.

Cell: 7.967 8.070 5.194 Å, 90.00 90.00 90.00°
Space group Cmmm (No. 65)
Inequivalent atoms, fractional coordinates:
V 0.000 0.175 0.000
Fe 0.000 0.261 0.500
Fe 0.177 0.000 0.500
Fe 0.245 0.000 0.000
Co 0.000 0.500 0.244
Co 0.250 0.250 0.251

***

Computed, not measured: an optimized crystal structure of ZrFe2Pt at the GGA-PBE level of DFT.

The volume is 242 Å³/cell. The calculation puts the total magnetic moment at 4.665 μB/f.u. For the formation energy, the calculation gives -0.24 eV per atom. The density of states at the Fermi level is 6.0 states/eV/f.u.

Cell: 6.231 6.231 6.231 Å, 90.00 90.00 90.00°
Space group Fm-3m (No. 225)
Inequivalent atoms, fractional coordinates:
Zr 0.000 0.000 0.000
Fe 0.250 0.250 0.250
Pt 0.000 0.000 0.500

***

Computed, not measured: an optimized crystal structure of CaSc2Au at the GGA-PBE level of DFT.

The volume is 100 Å³/cell. The calculation puts the total magnetic moment at 0.000 μB/f.u. For the formation energy, the calculation gives -0.19 eV per atom. The density of states at the Fermi level is 5.5 states/eV/f.u. The value obtained for the energy above the lowest structure with this stoichiometry is 0.162 eV per atom.

Cell: 3.571 4.669 6.276 Å, 90.00 106.35 90.00°
Space group P2/m (No. 10)
Inequivalent atoms, fractional coordinates:
Ca 0.000 0.000 0.000
Sc 0.379 0.500 0.712
Au 0.000 0.000 0.500

***

Computed, not measured: an optimized crystal structure of RbBeI2N at the GGA-PBE level of DFT.

The volume is 150 Å³/cell. The calculation puts the total magnetic moment at 0.994 μB/f.u. The calculation puts the energy relative to the elements, uncorrected at -0.1489 eV/atom. The density of states at the Fermi level is 2.5 states/eV/f.u. The value obtained for the energy above the lowest structure with this stoichiometry is 0.000 eV per atom.

Cell: 6.893 6.893 3.153 Å, 90.00 90.00 90.00°
Space group P4/mmm (No. 123)
Inequivalent atoms, fractional coordinates:
Rb 0.000 0.000 0.000
Be 0.500 0.500 0.500
I 0.000 0.500 0.500
N 0.500 0.500 0.000

***

Computed, not measured: an optimized crystal structure of NaCoNi2N at the GGA-PBE level of DFT.

The volume is 57 Å³/cell. The calculation puts the total magnetic moment at 1.334 μB/f.u. The calculation puts the energy relative to the elements, uncorrected at 0.1655 eV/atom. The density of states at the Fermi level is 5.1 states/eV/f.u.

Cell: 3.874 3.874 3.780 Å, 90.00 90.00 90.00°
Space group P4/mmm (No. 123)
Inequivalent atoms, fractional coordinates:
Na 0.000 0.000 0.000
Co 0.500 0.500 0.000
Ni 0.000 0.500 0.500
N 0.500 0.500 0.500

***

Computed, not measured: an optimized crystal structure of CuOs2Pt at the GGA-PBE level of DFT.

The volume is 57 Å³/cell. The calculation puts the total magnetic moment at 0.000 μB/f.u. For the formation energy, the calculation gives 0.10 eV per atom. The density of states at the Fermi level is 3.9 states/eV/f.u. The value obtained for the energy above the lowest structure with this stoichiometry is 0.009 eV per atom.

Cell: 2.763 2.763 7.466 Å, 90.00 90.00 90.00°
Space group P4mm (No. 99)
Inequivalent atoms, fractional coordinates:
Cu 0.000 0.000 0.000
Os 0.000 0.000 0.483
Os 0.500 0.500 0.250
Pt 0.500 0.500 0.753

***

Computed, not measured: an optimized crystal structure of K2SrCa at the GGA-PBE level of DFT.

The volume is 233 Å³/cell. The calculation puts the total magnetic moment at 0.000 μB/f.u. For the formation energy, the calculation gives 0.12 eV per atom. The density of states at the Fermi level is 3.5 states/eV/f.u.

Cell: 4.207 6.195 8.929 Å, 90.00 90.00 90.00°
Space group Pmm2 (No. 25)
Inequivalent atoms, fractional coordinates:
K 0.000 0.000 0.000
K 0.500 0.500 0.262
Sr 0.000 0.000 0.534
Ca 0.500 0.500 0.737

***

Computed, not measured: an optimized crystal structure of NdGaAu11 at the GGA-PBE level of DFT.

The volume is 507 Å³/cell. The calculation puts the total magnetic moment at 0.000 μB/f.u. For the formation energy, the calculation gives -0.23 eV per atom. The density of states at the Fermi level is 4.1 states/eV/f.u.

Cell: 5.513 13.518 7.157 Å, 90.00 108.14 90.00°
Space group C2/m (No. 12)
Inequivalent atoms, fractional coordinates:
Nd 0.000 0.000 0.000
Ga 0.000 0.500 0.500
Au 0.000 0.000 0.500
Au 0.076 0.395 0.218
Au 0.145 0.175 0.348
Au 0.250 0.250 0.000

***

Computed, not measured: an optimized crystal structure of Nb2TcAs at the GGA-PBE level of DFT.

The volume is 285 Å³/cell. The calculation puts the total magnetic moment at 0.341 μB/f.u. For the formation energy, the calculation gives 0.36 eV per atom. The density of states at the Fermi level is 3.6 states/eV/f.u.

Cell: 3.900 3.900 18.752 Å, 90.00 90.00 90.00°
Space group I-42d (No. 122)
Inequivalent atoms, fractional coordinates:
Nb 0.238 0.250 0.125
Tc 0.000 0.000 0.500
As 0.000 0.000 0.000

***

| no. | E (Ha/atom) |
| --- | --- |
| 1 | -0.1182 |
| 2 | -0.1612 |
| 3 | -0.1496 |
| 4 | -0.2886 |
| 5 | -0.2985 |
| 6 | -0.1716 |
| 7 | -0.1239 |
| 8 | -0.2020 |
| 9 | -0.2959 |
| 10 | -0.0495 |
| 11 | -0.1324 |
| 12 | -0.3098 |